Compound: TlSnF3
Source: the Alexandria database
Functional: PBE
Structure: relaxed

Results
Formation energy without anion corrections: -2.11 eV/atom
Total energy: -4.511 eV/atom
M_tot: 0.0 μB/cell

The structure in POSCAR format:
```
TlSnF3
1.0
10.6658 -0.0363 -0.1249
1.7461 10.5220 -0.1249
2.6906 2.2730 7.6401
Tl Sn F
8 8 24
direct
0.9725 0.5068 0.7488
0.8485 0.8944 0.5468
0.1082 0.1456 0.9593
0.4775 0.0135 0.7519
0.5068 0.9725 0.2488
0.8944 0.8485 0.0468
0.1456 0.1082 0.4593
0.0135 0.4775 0.2519
0.3734 0.3618 0.9562
0.7480 0.2140 0.7813
0.2511 0.7469 0.7567
0.6472 0.6270 0.5412
0.3618 0.3734 0.4562
0.7469 0.2511 0.2567
0.2140 0.7480 0.2813
0.6270 0.6472 0.0412
0.6858 0.8399 0.9089
0.8385 0.2851 0.9496
0.7243 0.6236 0.7650
0.1807 0.4207 0.9363
0.2400 0.9481 0.7395
0.9203 0.0910 0.7485
0.0568 0.7630 0.7464
0.5841 0.8232 0.5562
0.8344 0.3750 0.5901
0.3892 0.2810 0.7262
0.8399 0.6858 0.4089
0.7273 0.1540 0.5437
0.2851 0.8385 0.4496
0.1693 0.3188 0.5852
0.6236 0.7243 0.2650
0.4207 0.1807 0.4363
0.9481 0.2400 0.2395
0.0910 0.9203 0.2485
0.7630 0.0568 0.2464
0.8232 0.5841 0.0562
0.3750 0.8344 0.0901
0.2810 0.3892 0.2262
0.1540 0.7273 0.0437
0.3188 0.1693 0.0852
```